No. 1
# KSc3 meta-GGA SCAN single point on PBEsol structure
data_KSc3
_cell_length_a 6.829
_cell_length_b 10.156
_cell_length_c 3.214
_cell_angle_alpha 90.00
_cell_angle_beta 90.00
_cell_angle_gamma 90.00
_space_group_name_H-M_alt 'C m m m'
_space_group_IT_number 65
_space_group_name_Hall '-C 2 2'
loop_
_atom_site_label
_atom_site_type_symbol
_atom_site_fract_x
_atom_site_fract_y
_atom_site_fract_z
_atom_site_occupancy
K1 K 0.000 0.000 0.000 1
Sc1 Sc 0.000 0.500 0.000 1
Sc2 Sc 0.250 0.250 0.500 1
# E_form: 60 kJ per mole of atoms
# Fermi-level density of states: 10.3 states/eV/cell

***

No. 2
# KSc3 meta-GGA SCAN single point on PBEsol structure
data_KSc3
_cell_length_a 7.638
_cell_length_b 7.638
_cell_length_c 7.638
_cell_angle_alpha 90.00
_cell_angle_beta 90.00
_cell_angle_gamma 90.00
_space_group_name_H-M_alt 'F m -3 m'
_space_group_IT_number 225
_space_group_name_Hall '-F 4 2 3'
loop_
_atom_site_label
_atom_site_type_symbol
_atom_site_fract_x
_atom_site_fract_y
_atom_site_fract_z
_atom_site_occupancy
K1 K 0.000 0.000 0.000 1
Sc1 Sc 0.000 0.000 0.500 1
Sc2 Sc 0.250 0.250 0.250 1
# E_form: 71 kJ per mole of atoms
# Fermi-level density of states: 22.9 states/eV/cell

***

No. 3
# KSc5 meta-GGA SCAN single point on PBEsol structure
data_KSc5
_cell_length_a 3.594
_cell_length_b 3.594
_cell_length_c 13.279
_cell_angle_alpha 90.00
_cell_angle_beta 90.00
_cell_angle_gamma 90.00
_space_group_name_H-M_alt 'P 4/m m m'
_space_group_IT_number 123
_space_group_name_Hall '-P 4 2'
loop_
_atom_site_label
_atom_site_type_symbol
_atom_site_fract_x
_atom_site_fract_y
_atom_site_fract_z
_atom_site_occupancy
K1 K 0.000 0.000 0.000 1
Sc1 Sc 0.000 0.000 0.371 1
Sc2 Sc 0.500 0.500 0.235 1
Sc3 Sc 0.500 0.500 0.500 1
# E_form: 24 kJ per mole of atoms
# Fermi-level density of states: 5.6 states/eV/cell

***

No. 4
# K3Sc meta-GGA SCAN single point on PBEsol structure
data_K3Sc
_cell_length_a 3.8840
_cell_length_b 3.8840
_cell_length_c 43.6523
_cell_angle_alpha 90.00
_cell_angle_beta 90.00
_cell_angle_gamma 120.00
_space_group_name_H-M_alt 'R -3 m'
_space_group_IT_number 166
_space_group_name_Hall '-R 3 2"'
loop_
_atom_site_label
_atom_site_type_symbol
_atom_site_fract_x
_atom_site_fract_y
_atom_site_fract_z
_atom_site_occupancy
K1 K 0.0000 0.0000 0.0000 1
K2 K 0.0000 0.0000 0.2406 1
Sc1 Sc 0.0000 0.0000 0.5000 1
# E_form: 46 kJ per mole of atoms
# Fermi-level density of states: 9.7 states/eV/cell
# distance to the lowest polymorph of the same formula: 0.0 meV/atom

***

No. 5
# K2Sc meta-GGA SCAN single point on PBEsol structure
data_K2Sc
_cell_length_a 6.949
_cell_length_b 6.949
_cell_length_c 3.502
_cell_angle_alpha 90.00
_cell_angle_beta 90.00
_cell_angle_gamma 90.00
_space_group_name_H-M_alt 'P 4/m m m'
_space_group_IT_number 123
_space_group_name_Hall '-P 4 2'
loop_
_atom_site_label
_atom_site_type_symbol
_atom_site_fract_x
_atom_site_fract_y
_atom_site_fract_z
_atom_site_occupancy
K1 K 0.000 0.500 0.000 1
Sc1 Sc 0.000 0.000 0.500 1
# E_form: 74 kJ per mole of atoms
# Fermi-level density of states: 3.0 states/eV/cell

***

No. 6
# KScSe2 meta-GGA SCAN single point on PBEsol structure
data_KScSe2
_cell_length_a 7.077
_cell_length_b 7.077
_cell_length_c 7.077
_cell_angle_alpha 90.00
_cell_angle_beta 90.00
_cell_angle_gamma 90.00
_space_group_name_H-M_alt 'F -4 3 m'
_space_group_IT_number 216
_space_group_name_Hall 'F -4 2 3'
loop_
_atom_site_label
_atom_site_type_symbol
_atom_site_fract_x
_atom_site_fract_y
_atom_site_fract_z
_atom_site_occupancy
K1 K 0.000 0.000 0.000 1
Sc1 Sc 0.250 0.250 0.750 1
Se1 Se 0.000 0.000 0.500 1
Se2 Se 0.250 0.250 0.250 1
# Fermi-level density of states: 0.6 states/eV/cell
# E_form (uncorrected): -0.397 eV per atom

***

No. 7
# KSc3Se meta-GGA SCAN single point on PBEsol structure
data_KSc3Se
_cell_length_a 4.834
_cell_length_b 4.834
_cell_length_c 4.834
_cell_angle_alpha 90.00
_cell_angle_beta 90.00
_cell_angle_gamma 90.00
_space_group_name_H-M_alt 'P m -3 m'
_space_group_IT_number 221
_space_group_name_Hall '-P 4 2 3'
loop_
_atom_site_label
_atom_site_type_symbol
_atom_site_fract_x
_atom_site_fract_y
_atom_site_fract_z
_atom_site_occupancy
K1 K 0.000 0.000 0.000 1
Sc1 Sc 0.000 0.000 0.500 1
Se1 Se 0.500 0.500 0.500 1
# Fermi-level density of states: 3.9 states/eV/cell
# E_form (uncorrected): 1.378 eV per atom

***

No. 8
# K2ScSe meta-GGA SCAN single point on PBEsol structure
data_K2ScSe
_cell_length_a 4.332
_cell_length_b 4.332
_cell_length_c 12.019
_cell_angle_alpha 90.00
_cell_angle_beta 90.00
_cell_angle_gamma 90.00
_space_group_name_H-M_alt 'I 4/m m m'
_space_group_IT_number 139
_space_group_name_Hall '-I 4 2'
loop_
_atom_site_label
_atom_site_type_symbol
_atom_site_fract_x
_atom_site_fract_y
_atom_site_fract_z
_atom_site_occupancy
K1 K 0.000 0.500 0.250 1
Sc1 Sc 0.000 0.000 0.000 1
Se1 Se 0.000 0.000 0.500 1
# Fermi-level density of states: 5.9 states/eV/cell
# E_form (uncorrected): -0.163 eV per atom

***

No. 9
# KScSe2 meta-GGA SCAN single point on PBEsol structure
data_KScSe2
_cell_length_a 3.857
_cell_length_b 3.857
_cell_length_c 7.815
_cell_angle_alpha 90.00
_cell_angle_beta 90.00
_cell_angle_gamma 90.00
_space_group_name_H-M_alt 'P 4 m m'
_space_group_IT_number 99
loop_
_space_group_symop_operation_xyz
'x,y,z'
'-y,x,z'
'-x,-y,z'
'y,-x,z'
'-x,y,z'
'y,x,z'
'x,-y,z'
'-y,-x,z'
loop_
_atom_site_label
_atom_site_type_symbol
_atom_site_fract_x
_atom_site_fract_y
_atom_site_fract_z
_atom_site_occupancy
K1 K 0.000 0.000 0.000 1
Sc1 Sc 0.500 0.500 0.516 1
Se1 Se 0.000 0.000 0.429 1
Se2 Se 0.500 0.500 0.818 1
# E_form (uncorrected): -1.515 eV per atom

***

No. 10
# KSc2Si meta-GGA SCAN single point on PBEsol structure
data_KSc2Si
_cell_length_a 4.591
_cell_length_b 4.591
_cell_length_c 4.217
_cell_angle_alpha 90.00
_cell_angle_beta 90.00
_cell_angle_gamma 90.00
_space_group_name_H-M_alt 'P 4/m m m'
_space_group_IT_number 123
_space_group_name_Hall '-P 4 2'
loop_
_atom_site_label
_atom_site_type_symbol
_atom_site_fract_x
_atom_site_fract_y
_atom_site_fract_z
_atom_site_occupancy
K1 K 0.000 0.000 0.000 1
Sc1 Sc 0.000 0.500 0.500 1
Si1 Si 0.500 0.500 0.000 1
# Fermi-level density of states: 3.5 states/eV/cell
# E_form (uncorrected): 0.311 eV per atom

***

No. 11
# KSc2Si meta-GGA SCAN single point on PBEsol structure
data_KSc2Si
_cell_length_a 7.162
_cell_length_b 7.162
_cell_length_c 7.162
_cell_angle_alpha 90.00
_cell_angle_beta 90.00
_cell_angle_gamma 90.00
_space_group_name_H-M_alt 'F -4 3 m'
_space_group_IT_number 216
_space_group_name_Hall 'F -4 2 3'
loop_
_atom_site_label
_atom_site_type_symbol
_atom_site_fract_x
_atom_site_fract_y
_atom_site_fract_z
_atom_site_occupancy
K1 K 0.000 0.000 0.000 1
Sc1 Sc 0.000 0.000 0.500 1
Sc2 Sc 0.250 0.250 0.250 1
Si1 Si 0.250 0.250 0.750 1
# Fermi-level density of states: 13.3 states/eV/cell
# E_form (uncorrected): 0.436 eV per atom

***

No. 12
# KSc2Si meta-GGA SCAN single point on PBEsol structure
data_KSc2Si
_cell_length_a 3.179
_cell_length_b 5.817
_cell_length_c 11.558
_cell_angle_alpha 90.00
_cell_angle_beta 90.00
_cell_angle_gamma 90.00
_space_group_name_H-M_alt 'I m m m'
_space_group_IT_number 71
_space_group_name_Hall '-I 2 2'
loop_
_atom_site_label
_atom_site_type_symbol
_atom_site_fract_x
_atom_site_fract_y
_atom_site_fract_z
_atom_site_occupancy
K1 K 0.000 0.000 0.000 1
Sc1 Sc 0.000 0.500 0.185 1
Si1 Si 0.000 0.000 0.500 1
# Fermi-level density of states: 8.0 states/eV/cell
# E_form (uncorrected): 0.098 eV per atom

***

No. 13
# K4ScSi meta-GGA SCAN single point on PBEsol structure
data_K4ScSi
_cell_length_a 9.650
_cell_length_b 9.650
_cell_length_c 9.650
_cell_angle_alpha 90.00
_cell_angle_beta 90.00
_cell_angle_gamma 90.00
_space_group_name_H-M_alt 'F -4 3 m'
_space_group_IT_number 216
_space_group_name_Hall 'F -4 2 3'
loop_
_atom_site_label
_atom_site_type_symbol
_atom_site_fract_x
_atom_site_fract_y
_atom_site_fract_z
_atom_site_occupancy
K1 K 0.123 0.123 0.377 1
Sc1 Sc 0.000 0.000 0.000 1
Si1 Si 0.250 0.250 0.750 1
# Fermi-level density of states: 32.4 states/eV/cell
# E_form (uncorrected): 0.840 eV per atom

***

No. 14
# K2ScSi meta-GGA SCAN single point on PBEsol structure
data_K2ScSi
_cell_length_a 20.790
_cell_length_b 3.625
_cell_length_c 3.976
_cell_angle_alpha 90.00
_cell_angle_beta 101.01
_cell_angle_gamma 90.00
_space_group_name_H-M_alt 'C 1 2/m 1'
_space_group_IT_number 12
loop_
_space_group_symop_operation_xyz
'x,y,z'
'-x,-y,-z'
'-x,y,-z'
'x,-y,z'
'x+1/2,y+1/2,z'
'-x+1/2,-y+1/2,-z'
'-x+1/2,y+1/2,-z'
'x+1/2,-y+1/2,z'
loop_
_atom_site_label
_atom_site_type_symbol
_atom_site_fract_x
_atom_site_fract_y
_atom_site_fract_z
_atom_site_occupancy
K1 K 0.152 0.000 0.150 1
Sc1 Sc 0.000 0.000 0.500 1
Si1 Si 0.000 0.500 0.000 1
# Fermi-level density of states: 4.0 states/eV/cell
# E_form (uncorrected): -0.023 eV per atom

***

No. 15
# KSc2Si meta-GGA SCAN single point on PBEsol structure
data_KSc2Si
_cell_length_a 5.917
_cell_length_b 5.917
_cell_length_c 17.419
_cell_angle_alpha 90.00
_cell_angle_beta 90.00
_cell_angle_gamma 90.00
_space_group_name_H-M_alt 'I 41/a m d'
_space_group_IT_number 141
loop_
_space_group_symop_operation_xyz
'x,y,z'
'-x,-y,-z'
'-y+1/4,x+3/4,z+1/4'
'y+1/4,-x+3/4,-z+1/4'
'-x+1/2,-y,z+1/2'
'x+1/2,y,-z+1/2'
'y+1/4,-x+1/4,z+3/4'
'-y+1/4,x+1/4,-z+3/4'
'x,-y,-z'
'-x,y,z'
'-y+1/4,-x+1/4,-z+3/4'
'y+1/4,x+1/4,z+3/4'
'-x+1/2,y,-z+1/2'
'x+1/2,-y,z+1/2'
'y+1/4,x+3/4,-z+1/4'
'-y+1/4,-x+3/4,z+1/4'
'x+1/2,y+1/2,z+1/2'
'-x+1/2,-y+1/2,-z+1/2'
'-y+3/4,x+1/4,z+3/4'
'y+3/4,-x+1/4,-z+3/4'
'-x,-y+1/2,z'
'x,y+1/2,-z'
'y+3/4,-x+3/4,z+1/4'
'-y+3/4,x+3/4,-z+1/4'
'x+1/2,-y+1/2,-z+1/2'
'-x+1/2,y+1/2,z+1/2'
'-y+3/4,-x+3/4,-z+1/4'
'y+3/4,x+3/4,z+1/4'
'-x,y+1/2,-z'
'x,-y+1/2,z'
'y+3/4,x+1/4,-z+3/4'
'-y+3/4,-x+1/4,z+3/4'
loop_
_atom_site_label
_atom_site_type_symbol
_atom_site_fract_x
_atom_site_fract_y
_atom_site_fract_z
_atom_site_occupancy
K1 K 0.000 0.250 0.375 1
Sc1 Sc 0.000 0.000 0.000 1
Si1 Si 0.000 0.250 0.875 1
# Fermi-level density of states: 12.5 states/eV/cell
# E_form (uncorrected): 0.552 eV per atom

***

No. 16
# KSr2Sc meta-GGA SCAN single point on PBEsol structure
data_KSr2Sc
_cell_length_a 4.038
_cell_length_b 4.038
_cell_length_c 11.152
_cell_angle_alpha 90.00
_cell_angle_beta 90.00
_cell_angle_gamma 90.00
_space_group_name_H-M_alt 'P 4/m m m'
_space_group_IT_number 123
_space_group_name_Hall '-P 4 2'
loop_
_atom_site_label
_atom_site_type_symbol
_atom_site_fract_x
_atom_site_fract_y
_atom_site_fract_z
_atom_site_occupancy
K1 K 0.000 0.000 0.000 1
Sr1 Sr 0.500 0.500 0.305 1
Sc1 Sc 0.000 0.000 0.500 1
# E_form: 27 kJ per mole of atoms
# Fermi-level density of states: 5.0 states/eV/cell
# distance to the lowest polymorph of the same formula: 0.0 meV/atom

***

No. 17
# KSrSc3 meta-GGA SCAN single point on PBEsol structure
data_KSrSc3
_cell_length_a 5.264
_cell_length_b 5.264
_cell_length_c 5.264
_cell_angle_alpha 90.00
_cell_angle_beta 90.00
_cell_angle_gamma 90.00
_space_group_name_H-M_alt 'P m -3 m'
_space_group_IT_number 221
_space_group_name_Hall '-P 4 2 3'
loop_
_atom_site_label
_atom_site_type_symbol
_atom_site_fract_x
_atom_site_fract_y
_atom_site_fract_z
_atom_site_occupancy
K1 K 0.000 0.000 0.000 1
Sr1 Sr 0.500 0.500 0.500 1
Sc1 Sc 0.000 0.000 0.500 1
# E_form: 107 kJ per mole of atoms
# Fermi-level density of states: 0.4 states/eV/cell

***

No. 18
# KSr2Sc meta-GGA SCAN single point on PBEsol structure
data_KSr2Sc
_cell_length_a 3.878
_cell_length_b 5.741
_cell_length_c 7.981
_cell_angle_alpha 90.00
_cell_angle_beta 90.00
_cell_angle_gamma 90.00
_space_group_name_H-M_alt 'P m m 2'
_space_group_IT_number 25
loop_
_space_group_symop_operation_xyz
'x,y,z'
'-x,-y,z'
'-x,y,z'
'x,-y,z'
loop_
_atom_site_label
_atom_site_type_symbol
_atom_site_fract_x
_atom_site_fract_y
_atom_site_fract_z
_atom_site_occupancy
K1 K 0.000 0.000 0.000 1
Sr1 Sr 0.000 0.000 0.460 1
Sr2 Sr 0.500 0.500 0.728 1
Sc1 Sc 0.500 0.500 0.266 1
# E_form: 43 kJ per mole of atoms
# Fermi-level density of states: 6.3 states/eV/cell
# distance to the lowest polymorph of the same formula: 159.1 meV/atom

***

No. 19
# KSr2Sc meta-GGA SCAN single point on PBEsol structure
data_KSr2Sc
_cell_length_a 5.441
_cell_length_b 5.441
_cell_length_c 11.892
_cell_angle_alpha 90.00
_cell_angle_beta 90.00
_cell_angle_gamma 90.00
_space_group_name_H-M_alt 'I -4 m 2'
_space_group_IT_number 119
_space_group_name_Hall 'I -4 -2'
loop_
_atom_site_label
_atom_site_type_symbol
_atom_site_fract_x
_atom_site_fract_y
_atom_site_fract_z
_atom_site_occupancy
K1 K 0.000 0.000 0.000 1
Sr1 Sr 0.000 0.000 0.500 1
Sr2 Sr 0.000 0.500 0.750 1
Sc1 Sc 0.000 0.500 0.250 1
# E_form: 47 kJ per mole of atoms
# Fermi-level density of states: 8.8 states/eV/cell
# distance to the lowest polymorph of the same formula: 203.6 meV/atom

***

No. 20
# KSr2Sc meta-GGA SCAN single point on PBEsol structure
data_KSr2Sc
_cell_length_a 3.9293
_cell_length_b 3.9293
_cell_length_c 39.6789
_cell_angle_alpha 90.00
_cell_angle_beta 90.00
_cell_angle_gamma 120.00
_space_group_name_H-M_alt 'R -3 m'
_space_group_IT_number 166
_space_group_name_Hall '-R 3 2"'
loop_
_atom_site_label
_atom_site_type_symbol
_atom_site_fract_x
_atom_site_fract_y
_atom_site_fract_z
_atom_site_occupancy
K1 K 0.0000 0.0000 0.0000 1
Sr1 Sr 0.0000 0.0000 0.2371 1
Sc1 Sc 0.0000 0.0000 0.5000 1
# E_form: 29 kJ per mole of atoms
# Fermi-level density of states: 14.1 states/eV/cell
# distance to the lowest polymorph of the same formula: 20.6 meV/atom

***

| no. | magnetic moment (μB/f.u.) | total DFT energy (no corrections) (eV per atom) |
| --- | --- | --- |
| 1 | 2.0 | -12.141 |
| 2 | 1.6 | -12.019 |
| 3 | 0.4 | -12.999 |
| 4 | 1.3 | -9.328 |
| 5 | 1.6 | -9.533 |
| 6 | 0.0 | -16.077 |
| 7 | 0.0 | -12.846 |
| 8 | 0.8 | -12.907 |
| 9 | 0.0 | -17.196 |
| 10 | 0.0 | -11.393 |
| 11 | 3.0 | -11.268 |
| 12 | 0.3 | -11.607 |
| 13 | 2.8 | -8.755 |
| 14 | 0.0 | -10.251 |
| 15 | 1.4 | -11.153 |
| 16 | 0.5 | -16.497 |
| 17 | 0.0 | -13.550 |
| 18 | 1.0 | -16.338 |
| 19 | 0.9 | -16.294 |
| 20 | 1.0 | -16.477 |